The following is a PBE-GGA calculation of a geometry-optimized LaNd2Co2Ge4Ir2 structure, from the Open Quantum Materials Database.

The space group is No. 71. For the total energy, the calculation gives -6.575 eV per atom.

The structure in POSCAR format:
```
LaNd2Co2Ge4Ir2
1.0
-2.079 2.108 12.268
2.079 -2.108 12.268
2.079 2.108 -12.268
La Nd Co Ge Ir
1 2 2 4 2
direct
0.000 0.000 0.000
0.353 0.853 0.500
0.647 0.147 0.500
0.097 0.597 0.500
0.903 0.403 0.500
0.193 0.693 0.500
0.447 0.447 0.000
0.553 0.553 0.000
0.807 0.307 0.500
0.249 0.249 0.000
0.751 0.751 0.000
```